[1]
## InGaCoS4 (PBE)

Data for a relaxed InGaCoS4 crystal.

Geometry as extended XYZ:
```
7
Lattice="3.689 0.000 0.000 -1.844 3.195 0.000 0.000 0.000 12.841" Properties=species:S:1:pos:R:3 pbc="T T T"
In 0.000 0.000 0.000
Ga 1.844 1.065 5.994
Co 0.000 2.130 9.299
S 0.000 0.000 4.972
S 0.000 0.000 10.367
S 1.844 1.065 1.299
S 1.844 1.065 8.258
```

Results
total energy: -4.6552 eV/atom
magnetic moment: 1.00 Bohr magnetons per cell
space-group type: No. 156
raw formation energy: -3.206 eV per formula unit
crystal system: trigonal
ΔE to the lowest computed polymorph: 0.000 eV/atom

---

[2]
## InGaCoS4 (PBE)

Data for a relaxed InGaCoS4 crystal.

Geometry as extended XYZ:
```
14
Lattice="-3.609 3.697 5.066 3.609 -3.697 5.066 3.609 3.697 -5.066" Properties=species:S:1:pos:R:3 pbc="T T T"
In 0.000 0.000 0.000
In 0.000 3.697 0.000
Ga 3.609 1.849 1.312
Ga 0.000 1.849 3.754
Co 1.805 1.849 -2.533
Co 1.805 -1.849 2.533
S 3.609 -0.316 2.491
S 3.609 3.381 -2.491
S 1.805 1.849 -0.227
S 5.413 1.849 -0.227
S -1.804 1.849 5.293
S 1.804 1.849 5.293
S 0.000 0.316 7.557
S 0.000 4.014 2.575
```

Results
total energy: -4.6360 eV/atom
magnetic moment: 0.00 Bohr magnetons per cell
space-group type: No. 74
raw formation energy: -3.071 eV per formula unit
crystal system: orthorhombic
ΔE to the lowest computed polymorph: 0.019 eV/atom